## NaLaCr2O8 (GGA+U)

Data for crystalline NaLaCr2O8 at its relaxed geometry.

Calculated values
Symmetry: I-4m2
Total energy in eV per atom: -6.969
V in Å³ per atom: 15.043
Calculated density in g/cm³: 3.6

a = 6.194 Å, b = 6.194 Å, c = 6.194 Å
α = 105.80°, β = 105.80°, γ = 117.09°
Fractional coordinates of all 12 atoms:
1 Na 0.250 0.750 0.500
2 La 0.000 0.000 0.000
3 Cr 0.750 0.250 0.500
4 Cr 0.500 0.500 0.000
5 O 0.418 0.098 0.320
6 O 0.339 0.513 0.174
7 O 0.339 0.165 0.826
8 O 0.777 0.098 0.680
9 O 0.835 0.661 0.174
10 O 0.902 0.223 0.320
11 O 0.902 0.582 0.680
12 O 0.487 0.661 0.826